No. 1
## Be2InSi (GGA-PBE)

Data for Be2InSi after structural relaxation.

## Properties
For the excess energy over the best structure of this formula in the dataset, the calculation gives 601.9 meV per atom.

POSCAR file:
```
Be2InSi
1.0
0.0000 3.1328 3.1328
3.1328 0.0000 3.1328
3.1328 3.1328 0.0000
Be In Si
2 1 1
Direct
0.0000 0.0000 0.0000
0.2500 0.2500 0.2500
0.7500 0.7500 0.7500
0.5000 0.5000 0.5000
```

=====

No. 2
## Be2InSi (GGA-PBE)

Data for Be2InSi after structural relaxation.

## Properties
For the excess energy over the best structure of this formula in the dataset, the calculation gives 0.0 meV per atom.

POSCAR file:
```
Be2InSi
1.0
3.1420 -1.8167 0.0000
3.1420 1.8167 0.0000
-0.6124 0.0000 5.6795
Be In Si
2 1 1
Direct
0.0000 0.0000 0.0000
0.6669 0.6669 0.0049
0.3292 0.3292 0.3556
0.3175 0.3175 0.8244
```

=====

No. 3
## Be2InSi2 (GGA-PBE)

Data for Be2InSi2 after structural relaxation.

POSCAR file:
```
Be2InSi2
1.0
-1.9831 1.9831 4.8662
1.9831 -1.9831 4.8662
1.9831 1.9831 -4.8662
Be In Si
2 1 2
Direct
0.2500 0.7500 0.5000
0.7500 0.2500 0.5000
0.0000 0.0000 0.0000
0.3781 0.3781 0.0000
0.6219 0.6219 0.0000
```

=====

No. 4
## BeInSi2 (GGA-PBE)

Data for BeInSi2 after structural relaxation.

## Properties
For the excess energy over the best structure of this formula in the dataset, the calculation gives 299.3 meV per atom.

POSCAR file:
```
BeInSi2
1.0
2.5557 -3.6516 0.0000
2.5557 3.6516 0.0000
0.0000 0.0000 3.6548
Be In Si
1 1 2
Direct
0.0000 0.0000 0.0000
0.5000 0.5000 0.0000
0.0000 0.5000 0.5000
0.5000 0.0000 0.5000
```

=====

No. 5
## BeInSi2 (GGA-PBE)

Data for BeInSi2 after structural relaxation.

## Properties
For the excess energy over the best structure of this formula in the dataset, the calculation gives 101.6 meV per atom.

POSCAR file:
```
BeInSi2
1.0
1.8859 -2.3425 0.0000
1.8859 2.3425 0.0000
0.0000 0.0000 7.8019
Be In Si
1 1 2
Direct
0.0000 0.0000 0.0000
0.0000 0.0000 0.5000
0.5000 0.5000 0.1680
0.5000 0.5000 0.8320
```

=====

No. 6
## Be2InSi (GGA-PBE)

Data for Be2InSi after structural relaxation.

## Properties
For the excess energy over the best structure of this formula in the dataset, the calculation gives 457.1 meV per atom.

POSCAR file:
```
Be2InSi
1.0
4.7606 0.0000 0.0000
0.0000 4.7606 0.0000
0.0000 0.0000 2.6392
Be In Si
2 1 1
Direct
0.0000 0.5000 0.0000
0.5000 0.0000 0.0000
0.0000 0.0000 0.5000
0.5000 0.5000 0.5000
```

=====

No. 7
## BeInSi2 (GGA-PBE)

Data for BeInSi2 after structural relaxation.

## Properties
For the excess energy over the best structure of this formula in the dataset, the calculation gives 408.2 meV per atom.

POSCAR file:
```
BeInSi2
1.0
0.0000 3.2500 3.2500
3.2500 0.0000 3.2500
3.2500 3.2500 0.0000
Be In Si
1 1 2
Direct
0.0000 0.0000 0.0000
0.5000 0.5000 0.5000
0.2500 0.2500 0.2500
0.7500 0.7500 0.7500
```

=====

No. 8
## Be2InSi (GGA-PBE)

Data for Be2InSi after structural relaxation.

## Properties
For the excess energy over the best structure of this formula in the dataset, the calculation gives 388.8 meV per atom.

POSCAR file:
```
Be2InSi
1.0
-1.8410 2.2009 3.6258
1.8410 -2.2009 3.6258
1.8410 2.2009 -3.6258
Be In Si
2 1 1
Direct
0.2246 0.2246 0.0000
0.7754 0.7754 0.0000
0.5000 0.0000 0.5000
0.0000 0.5000 0.5000
```

=====

No. 9
## Be2InSi (GGA-PBE)

Data for Be2InSi after structural relaxation.

## Properties
For the excess energy over the best structure of this formula in the dataset, the calculation gives 413.7 meV per atom.

POSCAR file:
```
Be2InSi
1.0
3.6243 0.0000 0.0000
0.0000 3.9564 0.0000
0.0000 0.0000 4.0645
Be In Si
2 1 1
Direct
0.0000 0.0000 0.0000
0.0000 0.5000 0.5000
0.5000 0.0000 0.5000
0.5000 0.5000 0.0000
```

=====

No. 10
## Be2InSi (GGA-PBE)

Data for Be2InSi after structural relaxation.

## Properties
For the excess energy over the best structure of this formula in the dataset, the calculation gives 277.5 meV per atom.

POSCAR file:
```
Be2InSi
1.0
2.7906 0.0000 0.0000
0.0000 3.4014 0.0000
0.0000 0.0000 6.1849
Be In Si
2 1 1
Direct
0.0000 0.0000 0.1756
0.0000 0.0000 0.8244
0.5000 0.5000 0.5000
0.5000 0.5000 0.0000
```

=====

No. 11
## BeInSi2 (GGA-PBE)

Data for BeInSi2 after structural relaxation.

## Properties
For the excess energy over the best structure of this formula in the dataset, the calculation gives 12.3 meV per atom.

POSCAR file:
```
BeInSi2
1.0
2.5176 -3.6311 0.0000
2.5176 3.6311 0.0000
0.0000 0.0000 3.7371
Be In Si
1 1 2
Direct
0.0000 0.0000 0.0000
0.5000 0.5000 0.0000
0.1805 0.8195 0.5000
0.8195 0.1805 0.5000
```

=====

No. 12
## BeInSi2 (GGA-PBE)

Data for BeInSi2 after structural relaxation.

## Properties
For the excess energy over the best structure of this formula in the dataset, the calculation gives 303.0 meV per atom.

POSCAR file:
```
BeInSi2
1.0
-2.0846 2.0846 3.7671
2.0846 -2.0846 3.7671
2.0846 2.0846 -3.7671
Be In Si
1 1 2
Direct
0.0000 0.0000 0.0000
0.2500 0.7500 0.5000
0.5000 0.5000 0.0000
0.7500 0.2500 0.5000
```

=====

No. 13
## Be2InSi (GGA-PBE)

Data for Be2InSi after structural relaxation.

## Properties
For the excess energy over the best structure of this formula in the dataset, the calculation gives 257.8 meV per atom.

POSCAR file:
```
Be2InSi
1.0
2.8218 0.0000 0.0000
0.0000 3.3358 0.0000
-1.1820 0.0000 6.3147
Be In Si
2 1 1
Direct
0.0760 0.0000 0.1738
0.9240 0.0000 0.8262
0.5000 0.5000 0.5000
0.5000 0.5000 0.0000
```

=====

No. 14
## Be2InSi (GGA-PBE)

Data for Be2InSi after structural relaxation.

## Properties
For the excess energy over the best structure of this formula in the dataset, the calculation gives 462.0 meV per atom.

POSCAR file:
```
Be2InSi
1.0
0.0000 3.0750 3.0750
3.0750 0.0000 3.0750
3.0750 3.0750 0.0000
Be In Si
2 1 1
Direct
0.2500 0.2500 0.2500
0.7500 0.7500 0.7500
0.0000 0.0000 0.0000
0.5000 0.5000 0.5000
```

=====

No. 15
## Be4InSi (GGA-PBE)

Data for Be4InSi after structural relaxation.

POSCAR file:
```
Be4InSi
1.0
0.0000 3.3054 3.3054
3.3054 0.0000 3.3054
3.3054 3.3054 0.0000
Be In Si
4 1 1
Direct
0.3764 0.3764 0.3764
0.3764 0.3764 0.8707
0.3764 0.8707 0.3764
0.8707 0.3764 0.3764
0.0000 0.0000 0.0000
0.7500 0.7500 0.7500
```

=====

No. 16
## BeInSi2 (GGA-PBE)

Data for BeInSi2 after structural relaxation.

## Properties
For the excess energy over the best structure of this formula in the dataset, the calculation gives 260.4 meV per atom.

POSCAR file:
```
BeInSi2
1.0
3.7033 0.0000 0.0000
0.0000 3.7033 0.0000
0.0000 0.0000 4.8204
Be In Si
1 1 2
Direct
0.0000 0.0000 0.0000
0.5000 0.5000 0.0000
0.0000 0.5000 0.5000
0.5000 0.0000 0.5000
```

=====

No. 17
## BeInSi3 (GGA-PBE)

Data for BeInSi3 after structural relaxation.

## Properties
For the excess energy over the best structure of this formula in the dataset, the calculation gives 0.0 meV per atom.

POSCAR file:
```
BeInSi3
1.0
4.4371 0.0000 0.0000
0.0000 4.4371 0.0000
0.0000 0.0000 4.4371
Be In Si
1 1 3
Direct
0.0000 0.0000 0.0000
0.5000 0.5000 0.5000
0.0000 0.0000 0.5000
0.0000 0.5000 0.0000
0.5000 0.0000 0.0000
```

=====

No. 18
## BeIn3Si (GGA-PBE)

Data for BeIn3Si after structural relaxation.

POSCAR file:
```
BeIn3Si
1.0
5.2380 0.0000 0.0000
0.0000 5.2380 0.0000
0.0000 0.0000 5.2380
Be In Si
1 3 1
Direct
0.0000 0.0000 0.0000
0.0000 0.5000 0.5000
0.5000 0.0000 0.5000
0.5000 0.5000 0.0000
0.5000 0.5000 0.5000
```

=====

No. 19
## BeInSi3 (GGA-PBE)

Data for BeInSi3 after structural relaxation.

## Properties
For the excess energy over the best structure of this formula in the dataset, the calculation gives 1119.0 meV per atom.

POSCAR file:
```
BeInSi3
1.0
5.0921 0.0000 0.0000
0.0000 5.0921 0.0000
0.0000 0.0000 5.0921
Be In Si
1 1 3
Direct
0.0000 0.0000 0.0000
0.5000 0.5000 0.5000
0.0000 0.5000 0.5000
0.5000 0.0000 0.5000
0.5000 0.5000 0.0000
```

=====

No. 20
## BeInSi2 (GGA-PBE)

Data for BeInSi2 after structural relaxation.

## Properties
For the excess energy over the best structure of this formula in the dataset, the calculation gives 71.6 meV per atom.

POSCAR file:
```
BeInSi2
1.0
2.9673 0.0000 0.0000
0.0000 3.3834 0.0000
-1.3116 0.0000 6.6821
Be In Si
1 1 2
Direct
0.0000 0.0000 0.0000
0.6577 0.5000 0.2786
0.4243 0.5000 0.8337
0.8431 0.0000 0.6529
```

=====

No. 21
## BeInSi2 (GGA-PBE)

Data for BeInSi2 after structural relaxation.

## Properties
For the excess energy over the best structure of this formula in the dataset, the calculation gives 104.8 meV per atom.

POSCAR file:
```
BeInSi2
1.0
2.9059 0.0000 0.0000
0.0000 2.9059 0.0000
0.0000 0.0000 7.9035
Be In Si
1 1 2
Direct
0.0000 0.0000 0.0000
0.0000 0.0000 0.5000
0.5000 0.5000 0.1744
0.5000 0.5000 0.8256
```

=====

No. 22
## Be2InSi (GGA-PBE)

Data for Be2InSi after structural relaxation.

## Properties
For the excess energy over the best structure of this formula in the dataset, the calculation gives 125.4 meV per atom.

POSCAR file:
```
Be2InSi
1.0
3.2352 -1.8532 0.0000
3.2352 1.8532 0.0000
-1.1618 0.0000 5.4282
Be In Si
2 1 1
Direct
0.1901 0.1901 0.1108
0.8099 0.8099 0.8892
0.0000 0.0000 0.5000
0.5000 0.5000 0.0000
```

=====

No. 23
## BeInSi2 (GGA-PBE)

Data for BeInSi2 after structural relaxation.

## Properties
For the excess energy over the best structure of this formula in the dataset, the calculation gives 228.7 meV per atom.

POSCAR file:
```
BeInSi2
1.0
-1.8195 2.4998 3.7117
1.8195 -2.4998 3.7117
1.8195 2.4998 -3.7117
Be In Si
1 1 2
Direct
0.0000 0.0000 0.0000
0.7265 0.2265 0.5000
0.1912 0.6912 0.5000
0.4312 0.4312 0.0000
```

=====

No. 24
## Be2InSi (GGA-PBE)

Data for Be2InSi after structural relaxation.

## Properties
For the excess energy over the best structure of this formula in the dataset, the calculation gives 184.5 meV per atom.

POSCAR file:
```
Be2InSi
1.0
-2.1041 2.1041 7.3452
2.1041 -2.1041 7.3452
2.1041 2.1041 -7.3452
Be In Si
4 2 2
Direct
0.3750 0.2474 0.3724
0.7526 0.1250 0.1276
0.8750 0.0026 0.6276
0.9974 0.6250 0.8724
0.2500 0.7500 0.5000
0.5000 0.5000 0.0000
0.0000 0.0000 0.0000
0.7500 0.2500 0.5000
```

=====

No. 25
## Be3InSi (GGA-PBE)

Data for Be3InSi after structural relaxation.

## Properties
For the excess energy over the best structure of this formula in the dataset, the calculation gives 0.0 meV per atom.

POSCAR file:
```
Be3InSi
1.0
4.3262 0.0000 0.0000
0.0000 4.3262 0.0000
0.0000 0.0000 4.3262
Be In Si
3 1 1
Direct
0.0000 0.0000 0.5000
0.0000 0.5000 0.0000
0.5000 0.0000 0.0000
0.5000 0.5000 0.5000
0.0000 0.0000 0.0000
```

=====

No. 26
## Be2InSi (GGA-PBE)

Data for Be2InSi after structural relaxation.

## Properties
For the excess energy over the best structure of this formula in the dataset, the calculation gives 256.6 meV per atom.

POSCAR file:
```
Be2InSi
1.0
1.5330 0.8851 7.3452
-1.5330 0.8851 7.3452
0.0000 -1.7702 7.3452
Be In Si
2 1 1
Direct
0.2386 0.2386 0.2386
0.7614 0.7614 0.7614
0.0000 0.0000 0.0000
0.5000 0.5000 0.5000
```

=====

No. 27
## Be2InSi (GGA-PBE)

Data for Be2InSi after structural relaxation.

## Properties
For the excess energy over the best structure of this formula in the dataset, the calculation gives 172.0 meV per atom.

POSCAR file:
```
Be2InSi
1.0
3.6257 0.0000 0.0000
0.0000 3.7221 0.0000
-1.7551 0.0000 4.2822
Be In Si
2 1 1
Direct
0.0000 0.0000 0.0000
0.1275 0.5000 0.2609
0.7112 0.0000 0.4366
0.4497 0.5000 0.8948
```

=====

No. 28
## BeInSi2 (GGA-PBE)

Data for BeInSi2 after structural relaxation.

## Properties
For the excess energy over the best structure of this formula in the dataset, the calculation gives 56.2 meV per atom.

POSCAR file:
```
BeInSi2
1.0
1.8162 1.0486 6.1304
-1.8162 1.0486 6.1304
0.0000 -2.0972 6.1304
Be In Si
1 1 2
Direct
0.0000 0.0000 0.0000
0.7621 0.7621 0.7621
0.2817 0.2817 0.2817
0.5430 0.5430 0.5430
```

=====

No. 29
## BeInSi2 (GGA-PBE)

Data for BeInSi2 after structural relaxation.

## Properties
For the excess energy over the best structure of this formula in the dataset, the calculation gives 127.9 meV per atom.

POSCAR file:
```
BeInSi2
1.0
5.5010 -1.4040 0.0000
5.5010 1.4040 0.0000
-1.7826 0.0000 4.1749
Be In Si
1 1 2
Direct
0.0000 0.0000 0.0000
0.5000 0.5000 0.5000
0.2978 0.2978 0.7996
0.7022 0.7022 0.2004
```

=====

No. 30
## BeInSi2 (GGA-PBE)

Data for BeInSi2 after structural relaxation.

## Properties
For the excess energy over the best structure of this formula in the dataset, the calculation gives 191.9 meV per atom.

POSCAR file:
```
BeInSi2
1.0
2.5527 -5.0521 0.0000
2.5527 5.0521 0.0000
-2.5118 0.0000 2.5885
Be In Si
1 1 2
Direct
0.0000 0.0000 0.0000
0.5000 0.5000 0.0000
0.0000 0.5000 0.5000
0.5000 0.0000 0.5000
```

=====

Quick rundown of energy relative to the elements, uncorrected, same order as above: 0.83, 0.23, 0.30, 0.66, 0.46, 0.69, 0.77, 0.62, 0.64, 0.51, 0.37, 0.66, 0.49, 0.69, 0.44, 0.62, 0.65, 0.90, 1.77, 0.43, 0.46, 0.35, 0.59, 0.41, 0.80, 0.49, 0.40, 0.41, 0.49, 0.55 eV/atom
Quick rundown of total DFT energy (no corrections), same order as above: -3.073, -3.675, -3.905, -3.670, -3.868, -3.218, -3.561, -3.286, -3.261, -3.397, -3.957, -3.666, -3.417, -3.213, -3.401, -3.709, -3.901, -2.577, -2.782, -3.898, -3.865, -3.549, -3.741, -3.490, -3.070, -3.418, -3.503, -3.913, -3.841, -3.777 eV per atom